1.
Entry from Alexandria: an optimized crystal structure of Dy2Be3Cu12Pt (GGA-PBE).

Calculated values
**Energy of formation**: 31 kJ per mole of atoms
**E**: -3.88 eV/atom
**Crystal system**: trigonal

Cell: 7.5673 7.5673 17.3218 Å, 90.00 90.00 120.00°
Closest atoms and distances in Å follow each position.
Space group R-3m (No. 166, hexagonal axes)
Asymmetric unit:
Dy (0.0000, 0.0000, 0.1003) [6 per cell]  6 Cu 2.80-2.81
Be (0.0000, 0.5000, 0.0000) [9 per cell]  6 Cu 2.10
Cu (0.0233, 0.5116, 0.8789) [18 per cell]  1 Be 2.10
Cu (0.0385, 0.5193, 0.3540) [18 per cell]  2 Be 2.10
Pt (0.0000, 0.0000, 0.5000) [3 per cell]  6 Cu 2.47



2.
Entry from Alexandria: an optimized crystal structure of KSn2OsPt (GGA-PBE).

Calculated values
**Energy of formation**: 233 kJ per mole of atoms
**E**: -2.86 eV/atom
**Crystal system**: tetragonal

Cell: 5.4675 5.4675 4.5826 Å, 90.00 90.00 90.00°
Closest atoms and distances in Å follow each position.
Space group P4/mmm (No. 123)
Asymmetric unit:
K (0.0000, 0.0000, 0.0000) [1 per cell]  2 Os 2.29
Sn (0.0000, 0.5000, 0.0000) [2 per cell]  2 K 2.73
Os (0.0000, 0.0000, 0.5000) [1 per cell]  2 K 2.29
Pt (0.5000, 0.5000, 0.5000) [1 per cell]  8 Sn 3.57, 4 Os 3.87